TcNiO2: relaxed, PBE+U.

Properties
N(E_F) = 4.04 states/eV/cell
distance to the lowest polymorph of the same formula = 0.625 eV per formula unit

abc: 2.7395 2.7395 19.5101
angles: 90.00 90.00 120.00
Space group R-3m (No. 166, hexagonal axes)
Asymmetric unit:
Tc1 0.0000 0.0000 0.0000 [3 per cell]
Ni1 0.0000 0.0000 0.5000 [3 per cell]
O1 0.0000 0.0000 0.4021 [6 per cell]